Mn2AgRu | GGA-PBE | relaxed

Cell: 4.043 2.707 5.361 Å, 75.39 90.00 90.00°
Fractional coordinates of all 4 atoms:
Mn  0.500  0.050  0.275
Mn  0.000  0.186  0.004
Ag  0.500  0.799  0.778
Ru  0.000  0.466  0.443

Results
- symmetry = No. 38



MnAgRu2 | GGA-PBE | relaxed

Cell: 9.133 9.133 9.133 Å, 16.98 16.98 16.98°
Fractional coordinates of all 4 atoms:
Ru  0.490  0.490  0.490
Ru  0.010  0.010  0.010
Mn  0.750  0.750  0.750
Ag  0.250  0.250  0.250

Results
- offset from the most stable computed form (eV/atom) = 0.000
- symmetry = No. 166



MnAgRu3 | GGA-PBE | relaxed

Cell: 4.419 4.419 4.419 Å, 90.00 90.00 90.00°
Fractional coordinates of all 5 atoms:
Mn  0.000  0.000  0.000
Ag  0.500  0.500  0.500
Ru  0.500  0.000  0.000
Ru  0.000  0.000  0.500
Ru  0.000  0.500  0.000

Results
- offset from the most stable computed form (eV/atom) = 0.000
- symmetry = No. 221



Results for total energy: -7.19 -7.39 -6.71 (in eV per atom, following the order of the records).